5
Lattice="5.112 0.000 0.000 0.000 5.112 0.000 0.000 0.000 5.112" Properties=species:S:1:pos:R:3 comment="VSb3Br PBE relaxed" dft_energy_ev_per_atom=-4.579 raw_formation_energy_mev_per_atom=52 n_ef_per_ev_atom=0.521 space_group="No. 221" pbc="T T T"
V 0.000 0.000 0.000
Sb 0.000 0.000 2.556
Sb 0.000 2.556 0.000
Sb 2.556 0.000 0.000
Br 2.556 2.556 2.556

---

11
Lattice="3.940 -5.553 0.000 3.940 5.553 0.000 0.000 0.000 7.482" Properties=species:S:1:pos:R:3 comment="Dy7Cd2Ag2 PBE relaxed" dft_energy_ev_per_atom=-3.577 n_ef_per_ev_atom=1.072 space_group="No. 65" pbc="T T T"
Dy 0.000 0.000 0.000
Dy 1.970 2.777 2.053
Dy 1.970 2.777 5.429
Dy 1.970 -2.777 2.053
Dy 1.970 -2.777 5.429
Dy 3.940 0.000 1.926
Dy 3.940 0.000 5.556
Cd 1.376 0.000 3.741
Cd 6.505 0.000 3.741
Ag 3.940 2.283 0.000
Ag 3.940 -2.283 0.000

---

6
Lattice="-2.252 3.190 6.761 2.252 -3.190 6.761 2.252 3.190 -6.761" Properties=species:S:1:pos:R:3 comment="CeHo2Bi3 PBE relaxed" dft_energy_ev_per_atom=-5.273 n_ef_per_ev_atom=1.254 space_group="No. 71" pbc="T T T"
Ce 0.000 0.000 0.000
Ho 0.000 0.000 4.525
Ho 0.000 0.000 8.997
Bi 2.252 0.000 2.307
Bi 0.000 3.190 0.000
Bi 0.000 3.190 4.454

---

4
Lattice="0.000 2.936 2.936 2.936 0.000 2.936 2.936 2.936 0.000" Properties=species:S:1:pos:R:3 comment="MnAlP2 PBE relaxed" dft_energy_ev_per_atom=-5.560 n_ef_per_ev_atom=0.219 space_group="No. 216" pbc="T T T"
Mn 0.000 0.000 0.000
Al 4.404 4.404 4.404
P 1.468 1.468 1.468
P 2.936 2.936 2.936

---

4
Lattice="3.317 0.000 0.000 0.000 4.144 0.000 -1.237 0.000 5.639" Properties=species:S:1:pos:R:3 comment="SrNi2Mo PBE relaxed" dft_energy_ev_per_atom=-5.576 n_ef_per_ev_atom=1.040 space_group="No. 6" pbc="T T T"
Sr 0.000 0.000 0.000
Ni 0.379 2.072 4.216
Ni 0.720 0.000 2.825
Mo 1.998 2.072 2.542

---

10
Lattice="9.235 -2.163 0.000 9.235 2.163 0.000 -2.150 0.000 8.130" Properties=species:S:1:pos:R:3 comment="Ac5LaRh4 PBE relaxed" dft_energy_ev_per_atom=-6.100 n_ef_per_ev_atom=0.687 space_group="No. 12" pbc="T T T"
Ac 0.000 0.000 0.000
Ac 4.783 0.000 5.278
Ac 5.850 0.000 1.360
Ac 10.470 0.000 6.770
Ac 11.537 0.000 2.852
La -1.075 0.000 4.065
Rh 1.862 0.000 4.922
Rh 8.720 0.000 1.979
Rh 7.600 0.000 6.151
Rh 14.458 0.000 3.208

---

4
Lattice="3.111 0.000 0.000 0.000 3.111 0.000 0.000 0.000 5.631" Properties=species:S:1:pos:R:3 comment="Mn2ZnRh PBE relaxed" dft_energy_ev_per_atom=-6.869 n_ef_per_ev_atom=0.870 space_group="No. 99" pbc="T T T"
Mn 0.000 0.000 0.000
Mn 1.555 1.555 1.297
Zn 1.555 1.555 4.168
Rh 0.000 0.000 2.775

---

4
Lattice="0.000 3.457 3.457 3.457 0.000 3.457 3.457 3.457 0.000" Properties=species:S:1:pos:R:3 comment="DyLuCuPd PBE relaxed" dft_energy_ev_per_atom=-5.201 n_ef_per_ev_atom=0.807 space_group="No. 216" pbc="T T T"
Dy 0.000 0.000 0.000
Lu 3.457 3.457 3.457
Cu 5.185 5.185 5.185
Pd 1.728 1.728 1.728

---

4
Lattice="5.568 -1.502 0.000 5.568 1.502 0.000 -5.561 0.000 5.851" Properties=species:S:1:pos:R:3 comment="AlZn2Cl PBE relaxed" dft_energy_ev_per_atom=-2.139 raw_formation_energy_mev_per_atom=-104 n_ef_per_ev_atom=0.340 space_group="No. 8" pbc="T T T"
Al 0.000 0.000 0.000
Zn -1.155 0.000 3.983
Zn 4.422 0.000 1.876
Cl 1.913 0.000 5.839

---

5
Lattice="5.129 0.000 0.000 0.000 5.129 0.000 0.000 0.000 5.179" Properties=species:S:1:pos:R:3 comment="ScGaSnAu2 PBE relaxed" dft_energy_ev_per_atom=-3.575 n_ef_per_ev_atom=0.698 space_group="No. 123" pbc="T T T"
Sc 0.000 0.000 0.000
Ga 2.564 2.564 0.000
Sn 2.564 2.564 2.589
Au 0.000 2.564 2.589
Au 2.564 0.000 2.589

---

5
Lattice="4.411 0.000 0.000 0.000 4.411 0.000 0.000 0.000 4.411" Properties=species:S:1:pos:R:3 comment="Li3NbPt PBE relaxed" dft_energy_ev_per_atom=-3.704 n_ef_per_ev_atom=1.614 space_group="No. 221" pbc="T T T"
Li 0.000 0.000 2.206
Li 0.000 2.206 0.000
Li 2.206 0.000 0.000
Nb 2.206 2.206 2.206
Pt 0.000 0.000 0.000

---

4
Lattice="4.613 0.000 0.000 0.000 4.613 0.000 0.000 0.000 4.194" Properties=species:S:1:pos:R:3 comment="BaFeP2 PBE relaxed" dft_energy_ev_per_atom=-4.863 n_ef_per_ev_atom=0.996 space_group="No. 123" pbc="T T T"
Ba 0.000 0.000 0.000
Fe 2.307 2.307 0.000
P 0.000 2.307 2.097
P 2.307 0.000 2.097